i:
# Li3W SCAN PBEsol geometry
# M_tot   0.0 μB/cell
data_Li3W
_chemical_formula_sum 'Li9 W3'
_symmetry_space_group_name_H-M 'R -3 m'
_symmetry_Int_Tables_number 166
_symmetry_space_group_name_Hall '-R 3 2"'
_cell_length_a 2.7192
_cell_length_b 2.7192
_cell_length_c 30.1774
_cell_angle_alpha 90.00
_cell_angle_beta 90.00
_cell_angle_gamma 120.00
loop_
_atom_site_label
_atom_site_type_symbol
_atom_site_fract_x
_atom_site_fract_y
_atom_site_fract_z
Li1 Li 0.0000 0.0000 0.0000
Li2 Li 0.0000 0.0000 0.2464
W1 W 0.0000 0.0000 0.5000

ii:
# Li3W SCAN PBEsol geometry
# M_tot   0.0 μB/cell
data_Li3W
_chemical_formula_sum 'Li6 W2'
_symmetry_space_group_name_H-M 'I m m m'
_symmetry_Int_Tables_number 71
_symmetry_space_group_name_Hall '-I 2 2'
_cell_length_a 2.466
_cell_length_b 4.917
_cell_length_c 9.882
_cell_angle_alpha 90.00
_cell_angle_beta 90.00
_cell_angle_gamma 90.00
loop_
_atom_site_label
_atom_site_type_symbol
_atom_site_fract_x
_atom_site_fract_y
_atom_site_fract_z
Li1 Li 0.000 0.000 0.000
Li2 Li 0.000 0.500 0.265
W1 W 0.000 0.000 0.500

Name the least stable of them. ii.

i:
# LiZn2W SCAN PBEsol geometry
# M_tot   0.0 μB/cell
data_LiZn2W
_chemical_formula_sum 'Li1 Zn2 W1'
_symmetry_space_group_name_H-M 'P 4/m m m'
_symmetry_Int_Tables_number 123
_symmetry_space_group_name_Hall '-P 4 2'
_cell_length_a 2.744
_cell_length_b 2.744
_cell_length_c 7.222
_cell_angle_alpha 90.00
_cell_angle_beta 90.00
_cell_angle_gamma 90.00
loop_
_atom_site_label
_atom_site_type_symbol
_atom_site_fract_x
_atom_site_fract_y
_atom_site_fract_z
Li1 Li 0.000 0.000 0.000
Zn1 Zn 0.500 0.500 0.230
W1 W 0.000 0.000 0.500

ii:
# LiZn2W SCAN PBEsol geometry
# M_tot   0.0 μB/cell
data_LiZn2W
_chemical_formula_sum 'Li2 Zn4 W2'
_symmetry_space_group_name_H-M 'C m m 2'
_symmetry_Int_Tables_number 35
_cell_length_a 3.234
_cell_length_b 4.094
_cell_length_c 8.737
_cell_angle_alpha 90.00
_cell_angle_beta 90.00
_cell_angle_gamma 90.00
loop_
_symmetry_equiv_pos_as_xyz
'x,y,z'
'-x,-y,z'
'-x,y,z'
'x,-y,z'
'x+1/2,y+1/2,z'
'-x+1/2,-y+1/2,z'
'-x+1/2,y+1/2,z'
'x+1/2,-y+1/2,z'
loop_
_atom_site_label
_atom_site_type_symbol
_atom_site_fract_x
_atom_site_fract_y
_atom_site_fract_z
Li1 Li 0.000 0.000 0.000
Zn1 Zn 0.000 0.000 0.512
Zn2 Zn 0.000 0.500 0.757
W1 W 0.000 0.500 0.264

iii:
# LiZn2W SCAN PBEsol geometry
# M_tot   0.0 μB/cell
data_LiZn2W
_chemical_formula_sum 'Li2 Zn4 W2'
_symmetry_space_group_name_H-M 'I -4 m 2'
_symmetry_Int_Tables_number 119
_symmetry_space_group_name_Hall 'I -4 -2'
_cell_length_a 3.711
_cell_length_b 3.711
_cell_length_c 8.074
_cell_angle_alpha 90.00
_cell_angle_beta 90.00
_cell_angle_gamma 90.00
loop_
_atom_site_label
_atom_site_type_symbol
_atom_site_fract_x
_atom_site_fract_y
_atom_site_fract_z
Li1 Li 0.000 0.000 0.000
Zn1 Zn 0.000 0.000 0.500
Zn2 Zn 0.000 0.500 0.750
W1 W 0.000 0.500 0.250

Name the least stable of them. iii.

i:
# LiZn2W SCAN PBEsol geometry
# M_tot   0.0 μB/cell
data_LiZn2W
_chemical_formula_sum 'Li3 Zn6 W3'
_symmetry_space_group_name_H-M 'R -3 m'
_symmetry_Int_Tables_number 166
_symmetry_space_group_name_Hall '-R 3 2"'
_cell_length_a 2.7290
_cell_length_b 2.7290
_cell_length_c 27.3573
_cell_angle_alpha 90.00
_cell_angle_beta 90.00
_cell_angle_gamma 120.00
loop_
_atom_site_label
_atom_site_type_symbol
_atom_site_fract_x
_atom_site_fract_y
_atom_site_fract_z
Li1 Li 0.0000 0.0000 0.0000
Zn1 Zn 0.0000 0.0000 0.2508
W1 W 0.0000 0.0000 0.5000

ii:
# LiZn2W SCAN PBEsol geometry
# M_tot   2.0 μB/cell
data_LiZn2W
_chemical_formula_sum 'Li2 Zn4 W2'
_symmetry_space_group_name_H-M 'I 4/m m m'
_symmetry_Int_Tables_number 139
_symmetry_space_group_name_Hall '-I 4 2'
_cell_length_a 3.976
_cell_length_b 3.976
_cell_length_c 7.012
_cell_angle_alpha 90.00
_cell_angle_beta 90.00
_cell_angle_gamma 90.00
loop_
_atom_site_label
_atom_site_type_symbol
_atom_site_fract_x
_atom_site_fract_y
_atom_site_fract_z
Li1 Li 0.000 0.000 0.000
Zn1 Zn 0.000 0.500 0.250
W1 W 0.000 0.000 0.500

Name the least stable of them. ii.

i:
# Li2ZrW SCAN PBEsol geometry
# M_tot   0.0 μB/cell
data_Li2ZrW
_chemical_formula_sum 'Li4 Zr2 W2'
_symmetry_space_group_name_H-M 'C 1 m 1'
_symmetry_Int_Tables_number 8
_cell_length_a 10.102
_cell_length_b 2.717
_cell_length_c 5.349
_cell_angle_alpha 90.00
_cell_angle_beta 113.60
_cell_angle_gamma 90.00
loop_
_symmetry_equiv_pos_as_xyz
'x,y,z'
'x,-y,z'
'x+1/2,y+1/2,z'
'x+1/2,-y+1/2,z'
loop_
_atom_site_label
_atom_site_type_symbol
_atom_site_fract_x
_atom_site_fract_y
_atom_site_fract_z
Li1 Li 0.000 0.000 0.000
Li2 Li 0.241 0.500 0.074
Zr1 Zr 0.002 0.500 0.493
W1 W 0.259 0.000 0.595

ii:
# Li2ZrW SCAN PBEsol geometry
# M_tot   0.0 μB/cell
data_Li2ZrW
_chemical_formula_sum 'Li2 Zr1 W1'
_symmetry_space_group_name_H-M 'P 1 2/m 1'
_symmetry_Int_Tables_number 10
_cell_length_a 2.653
_cell_length_b 5.157
_cell_length_c 5.098
_cell_angle_alpha 90.00
_cell_angle_beta 98.60
_cell_angle_gamma 90.00
loop_
_symmetry_equiv_pos_as_xyz
'x,y,z'
'-x,-y,-z'
'-x,y,-z'
'x,-y,z'
loop_
_atom_site_label
_atom_site_type_symbol
_atom_site_fract_x
_atom_site_fract_y
_atom_site_fract_z
Li1 Li 0.245 0.000 0.227
Zr1 Zr 0.000 0.500 0.500
W1 W 0.500 0.500 0.000

iii:
# Li2ZrW SCAN PBEsol geometry
# M_tot   0.0 μB/cell
data_Li2ZrW
_chemical_formula_sum 'Li2 Zr1 W1'
_symmetry_space_group_name_H-M 'P 1 m 1'
_symmetry_Int_Tables_number 6
_cell_length_a 2.582
_cell_length_b 4.570
_cell_length_c 5.959
_cell_angle_alpha 90.00
_cell_angle_beta 102.42
_cell_angle_gamma 90.00
loop_
_symmetry_equiv_pos_as_xyz
'x,y,z'
'x,-y,z'
loop_
_atom_site_label
_atom_site_type_symbol
_atom_site_fract_x
_atom_site_fract_y
_atom_site_fract_z
Li1 Li 0.000 0.000 0.000
Li2 Li 0.108 0.500 0.231
Zr1 Zr 0.352 0.500 0.712
W1 W 0.734 0.000 0.478

Name the least stable of them. i.

i:
# LiY5 SCAN PBEsol geometry
# M_tot   0.8 μB/cell
data_LiY5
_chemical_formula_sum 'Li2 Y10'
_symmetry_space_group_name_H-M 'C 1 2/m 1'
_symmetry_Int_Tables_number 12
_cell_length_a 12.103
_cell_length_b 3.654
_cell_length_c 8.385
_cell_angle_alpha 90.00
_cell_angle_beta 111.68
_cell_angle_gamma 90.00
loop_
_symmetry_equiv_pos_as_xyz
'x,y,z'
'-x,-y,-z'
'-x,y,-z'
'x,-y,z'
'x+1/2,y+1/2,z'
'-x+1/2,-y+1/2,-z'
'-x+1/2,y+1/2,-z'
'x+1/2,-y+1/2,z'
loop_
_atom_site_label
_atom_site_type_symbol
_atom_site_fract_x
_atom_site_fract_y
_atom_site_fract_z
Li1 Li 0.000 0.000 0.000
Y1 Y 0.000 0.000 0.500
Y2 Y 0.144 0.500 0.858
Y3 Y 0.174 0.500 0.307

ii:
# LiY5 SCAN PBEsol geometry
# M_tot   0.1 μB/cell
data_LiY5
_chemical_formula_sum 'Li2 Y10'
_symmetry_space_group_name_H-M 'A m m 2'
_symmetry_Int_Tables_number 38
_cell_length_a 5.573
_cell_length_b 3.555
_cell_length_c 17.841
_cell_angle_alpha 90.00
_cell_angle_beta 90.00
_cell_angle_gamma 90.00
loop_
_symmetry_equiv_pos_as_xyz
'x,y,z'
'-x,-y,z'
'-x,y,z'
'x,-y,z'
'x,y+1/2,z+1/2'
'-x,-y+1/2,z+1/2'
'-x,y+1/2,z+1/2'
'x,-y+1/2,z+1/2'
loop_
_atom_site_label
_atom_site_type_symbol
_atom_site_fract_x
_atom_site_fract_y
_atom_site_fract_z
Li1 Li 0.000 0.000 0.000
Y1 Y 0.000 0.000 0.334
Y2 Y 0.000 0.000 0.663
Y3 Y 0.500 0.000 0.114
Y4 Y 0.500 0.000 0.452
Y5 Y 0.500 0.000 0.782

Name the least stable of them. ii.

i:
# Li3Y SCAN PBEsol geometry
# M_tot   0.0 μB/cell
data_Li3Y
_chemical_formula_sum 'Li6 Y2'
_symmetry_space_group_name_H-M 'C m m m'
_symmetry_Int_Tables_number 65
_symmetry_space_group_name_Hall '-C 2 2'
_cell_length_a 3.630
_cell_length_b 5.216
_cell_length_c 10.042
_cell_angle_alpha 90.00
_cell_angle_beta 90.00
_cell_angle_gamma 90.00
loop_
_atom_site_label
_atom_site_type_symbol
_atom_site_fract_x
_atom_site_fract_y
_atom_site_fract_z
Li1 Li 0.000 0.000 0.000
Li2 Li 0.000 0.500 0.234
Y1 Y 0.000 0.000 0.500

ii:
# Li3Y SCAN PBEsol geometry
# M_tot   0.2 μB/cell
data_Li3Y
_chemical_formula_sum 'Li3 Y1'
_symmetry_space_group_name_H-M 'P 4/m m m'
_symmetry_Int_Tables_number 123
_symmetry_space_group_name_Hall '-P 4 2'
_cell_length_a 3.460
_cell_length_b 3.460
_cell_length_c 7.456
_cell_angle_alpha 90.00
_cell_angle_beta 90.00
_cell_angle_gamma 90.00
loop_
_atom_site_label
_atom_site_type_symbol
_atom_site_fract_x
_atom_site_fract_y
_atom_site_fract_z
Li1 Li 0.000 0.000 0.000
Li2 Li 0.500 0.500 0.209
Y1 Y 0.000 0.000 0.500

Name the least stable of them. i.

i:
# LiY3 SCAN PBEsol geometry
# M_tot   0.2 μB/cell
data_LiY3
_chemical_formula_sum 'Li1 Y3'
_symmetry_space_group_name_H-M 'P 4/m m m'
_symmetry_Int_Tables_number 123
_symmetry_space_group_name_Hall '-P 4 2'
_cell_length_a 3.577
_cell_length_b 3.577
_cell_length_c 8.693
_cell_angle_alpha 90.00
_cell_angle_beta 90.00
_cell_angle_gamma 90.00
loop_
_atom_site_label
_atom_site_type_symbol
_atom_site_fract_x
_atom_site_fract_y
_atom_site_fract_z
Li1 Li 0.000 0.000 0.000
Y1 Y 0.000 0.000 0.500
Y2 Y 0.500 0.500 0.222

ii:
# LiY3 SCAN PBEsol geometry
# M_tot   0.9 μB/cell
data_LiY3
_chemical_formula_sum 'Li1 Y3'
_symmetry_space_group_name_H-M 'P -6 m 2'
_symmetry_Int_Tables_number 187
_symmetry_space_group_name_Hall 'P -6 2'
_cell_length_a 3.5001
_cell_length_b 3.5001
_cell_length_c 11.0054
_cell_angle_alpha 90.00
_cell_angle_beta 90.00
_cell_angle_gamma 120.00
loop_
_atom_site_label
_atom_site_type_symbol
_atom_site_fract_x
_atom_site_fract_y
_atom_site_fract_z
Li1 Li 0.0000 0.0000 0.0000
Y1 Y 0.0000 0.0000 0.5000
Y2 Y 0.3333 0.6667 0.2450

Name the least stable of them. ii.

i:
# LiY3 SCAN PBEsol geometry
# M_tot   0.3 μB/cell
data_LiY3
_chemical_formula_sum 'Li2 Y6'
_symmetry_space_group_name_H-M 'I m m m'
_symmetry_Int_Tables_number 71
_symmetry_space_group_name_Hall '-I 2 2'
_cell_length_a 3.700
_cell_length_b 5.410
_cell_length_c 11.105
_cell_angle_alpha 90.00
_cell_angle_beta 90.00
_cell_angle_gamma 90.00
loop_
_atom_site_label
_atom_site_type_symbol
_atom_site_fract_x
_atom_site_fract_y
_atom_site_fract_z
Li1 Li 0.000 0.000 0.000
Y1 Y 0.000 0.000 0.500
Y2 Y 0.000 0.500 0.276

ii:
# LiY3 SCAN PBEsol geometry
# M_tot   0.3 μB/cell
data_LiY3
_chemical_formula_sum 'Li3 Y9'
_symmetry_space_group_name_H-M 'R -3 m'
_symmetry_Int_Tables_number 166
_symmetry_space_group_name_Hall '-R 3 2"'
_cell_length_a 3.4579
_cell_length_b 3.4579
_cell_length_c 33.3648
_cell_angle_alpha 90.00
_cell_angle_beta 90.00
_cell_angle_gamma 120.00
loop_
_atom_site_label
_atom_site_type_symbol
_atom_site_fract_x
_atom_site_fract_y
_atom_site_fract_z
Li1 Li 0.0000 0.0000 0.0000
Y1 Y 0.0000 0.0000 0.2518
Y2 Y 0.0000 0.0000 0.5000

Name the least stable of them. ii.

i:
# LiY SCAN PBEsol geometry
# M_tot   0.0 μB/cell
data_LiY
_chemical_formula_sum 'Li2 Y2'
_symmetry_space_group_name_H-M 'C m m m'
_symmetry_Int_Tables_number 65
_symmetry_space_group_name_Hall '-C 2 2'
_cell_length_a 3.719
_cell_length_b 5.325
_cell_length_c 5.258
_cell_angle_alpha 90.00
_cell_angle_beta 90.00
_cell_angle_gamma 90.00
loop_
_atom_site_label
_atom_site_type_symbol
_atom_site_fract_x
_atom_site_fract_y
_atom_site_fract_z
Li1 Li 0.000 0.000 0.000
Y1 Y 0.000 0.500 0.500

ii:
# LiY SCAN PBEsol geometry
# M_tot   0.5 μB/cell
data_LiY
_chemical_formula_sum 'Li2 Y2'
_symmetry_space_group_name_H-M 'P 4/n m m'
_symmetry_Int_Tables_number 129
_cell_length_a 3.635
_cell_length_b 3.635
_cell_length_c 7.640
_cell_angle_alpha 90.00
_cell_angle_beta 90.00
_cell_angle_gamma 90.00
loop_
_symmetry_equiv_pos_as_xyz
'x,y,z'
'-x,-y,-z'
'-y+1/2,x,z'
'y+1/2,-x,-z'
'-x+1/2,-y+1/2,z'
'x+1/2,y+1/2,-z'
'y,-x+1/2,z'
'-y,x+1/2,-z'
'x+1/2,-y,-z'
'-x+1/2,y,z'
'-y,-x,-z'
'y,x,z'
'-x,y+1/2,-z'
'x,-y+1/2,z'
'y+1/2,x+1/2,-z'
'-y+1/2,-x+1/2,z'
loop_
_atom_site_label
_atom_site_type_symbol
_atom_site_fract_x
_atom_site_fract_y
_atom_site_fract_z
Li1 Li 0.250 0.250 0.088
Y1 Y 0.250 0.250 0.647

iii:
# LiY SCAN PBEsol geometry
# M_tot   4.0 μB/cell
data_LiY
_chemical_formula_sum 'Li4 Y4'
_symmetry_space_group_name_H-M 'P 63/m m c'
_symmetry_Int_Tables_number 194
_symmetry_space_group_name_Hall '-P 6c 2c'
_cell_length_a 3.7927
_cell_length_b 3.7927
_cell_length_c 16.0416
_cell_angle_alpha 90.00
_cell_angle_beta 90.00
_cell_angle_gamma 120.00
loop_
_atom_site_label
_atom_site_type_symbol
_atom_site_fract_x
_atom_site_fract_y
_atom_site_fract_z
Li1 Li 0.0000 0.0000 0.2500
Li2 Li 0.3333 0.6667 0.2500
Y1 Y 0.3333 0.6667 0.5867

iv:
# LiY SCAN PBEsol geometry
# M_tot   0.3 μB/cell
data_LiY
_chemical_formula_sum 'Li6 Y6'
_symmetry_space_group_name_H-M 'R -3 m'
_symmetry_Int_Tables_number 166
_symmetry_space_group_name_Hall '-R 3 2"'
_cell_length_a 3.4219
_cell_length_b 3.4219
_cell_length_c 31.5940
_cell_angle_alpha 90.00
_cell_angle_beta 90.00
_cell_angle_gamma 120.00
loop_
_atom_site_label
_atom_site_type_symbol
_atom_site_fract_x
_atom_site_fract_y
_atom_site_fract_z
Li1 Li 0.0000 0.0000 0.1298
Y1 Y 0.0000 0.0000 0.3777

Name the least stable of them. iii.

i:
# LiY2Zr SCAN PBEsol geometry
# M_tot   0.1 μB/cell
data_LiY2Zr
_chemical_formula_sum 'Li1 Y2 Zr1'
_symmetry_space_group_name_H-M 'P m m 2'
_symmetry_Int_Tables_number 25
_cell_length_a 3.328
_cell_length_b 4.710
_cell_length_c 6.467
_cell_angle_alpha 90.00
_cell_angle_beta 90.00
_cell_angle_gamma 90.00
loop_
_symmetry_equiv_pos_as_xyz
'x,y,z'
'-x,-y,z'
'-x,y,z'
'x,-y,z'
loop_
_atom_site_label
_atom_site_type_symbol
_atom_site_fract_x
_atom_site_fract_y
_atom_site_fract_z
Li1 Li 0.000 0.000 0.000
Y1 Y 0.000 0.000 0.537
Y2 Y 0.500 0.500 0.245
Zr1 Zr 0.500 0.500 0.750

ii:
# LiY2Zr SCAN PBEsol geometry
# M_tot   0.2 μB/cell
data_LiY2Zr
_chemical_formula_sum 'Li1 Y2 Zr1'
_symmetry_space_group_name_H-M 'P 4/m m m'
_symmetry_Int_Tables_number 123
_symmetry_space_group_name_Hall '-P 4 2'
_cell_length_a 3.389
_cell_length_b 3.389
_cell_length_c 8.967
_cell_angle_alpha 90.00
_cell_angle_beta 90.00
_cell_angle_gamma 90.00
loop_
_atom_site_label
_atom_site_type_symbol
_atom_site_fract_x
_atom_site_fract_y
_atom_site_fract_z
Li1 Li 0.000 0.000 0.000
Y1 Y 0.500 0.500 0.254
Zr1 Zr 0.000 0.000 0.500

Name the least stable of them. i.

i:
# Li4Zn5 SCAN PBEsol geometry
# M_tot   0.0 μB/cell
data_Li4Zn5
_chemical_formula_sum 'Li8 Zn10'
_symmetry_space_group_name_H-M 'I 4/m m m'
_symmetry_Int_Tables_number 139
_symmetry_space_group_name_Hall '-I 4 2'
_cell_length_a 7.930
_cell_length_b 7.930
_cell_length_c 4.058
_cell_angle_alpha 90.00
_cell_angle_beta 90.00
_cell_angle_gamma 90.00
loop_
_atom_site_label
_atom_site_type_symbol
_atom_site_fract_x
_atom_site_fract_y
_atom_site_fract_z
Li1 Li 0.000 0.321 0.000
Zn1 Zn 0.000 0.000 0.000
Zn2 Zn 0.166 0.166 0.500

ii:
# Li4Zn5 SCAN PBEsol geometry
# M_tot   0.0 μB/cell
data_Li4Zn5
_chemical_formula_sum 'Li8 Zn10'
_symmetry_space_group_name_H-M 'P 63/m c m'
_symmetry_Int_Tables_number 193
_symmetry_space_group_name_Hall '-P 6c 2'
_cell_length_a 7.4928
_cell_length_b 7.4928
_cell_length_c 5.1838
_cell_angle_alpha 90.00
_cell_angle_beta 90.00
_cell_angle_gamma 120.00
loop_
_atom_site_label
_atom_site_type_symbol
_atom_site_fract_x
_atom_site_fract_y
_atom_site_fract_z
Li1 Li 0.0000 0.0000 0.0000
Li2 Li 0.0000 0.3163 0.2500
Zn1 Zn 0.0000 0.3552 0.7500
Zn2 Zn 0.3333 0.6667 0.0000

Name the least stable of them. ii.